Record 1
PrCu5Sn after structural relaxation, computed with PBE.

```
PrCu5Sn
1.0
-4.1796 -1.4307 2.5555
-0.0807 -7.2564 -4.1944
6.1226 -4.4245 7.5367
Pr Cu Sn
4 20 4
Direct
0.7500 0.2547 0.4410
0.2500 0.2453 0.9410
0.2500 0.7453 0.5590
0.7500 0.7547 0.0590
0.7500 0.4185 0.9833
0.0000 0.0690 0.6883
0.0000 0.4310 0.1883
0.5000 0.5690 0.8117
0.5000 0.0690 0.6883
0.2500 0.5815 0.0167
0.7500 0.0633 0.8954
0.7500 0.9185 0.5167
0.0000 0.9310 0.3117
0.7500 0.8194 0.7445
0.2500 0.4367 0.3954
0.7500 0.3194 0.7555
0.2500 0.9367 0.1046
0.7500 0.5633 0.6046
0.0000 0.5690 0.8117
0.2500 0.6806 0.2445
0.2500 0.0815 0.4833
0.5000 0.4310 0.1883
0.2500 0.1806 0.2555
0.5000 0.9310 0.3117
0.7500 0.6403 0.3596
0.7500 0.1403 0.1404
0.2500 0.3597 0.6404
0.2500 0.8597 0.8596
```

Energy of formation from the pure elements (eV per atom): -0.2480
Total energy (eV/f.u.): -31.0

***

Record 2
Na4TeCl2 after structural relaxation, computed with PBE.

```
Na4TeCl2
1.0
-3.4838 4.4201 1.4588
-2.4386 -3.2854 4.1306
2.2042 2.9949 7.7751
Cl Te Na
2 1 4
Direct
0.6385 0.6385 0.7230
0.3615 0.3615 0.2770
0.0000 0.0000 0.0000
0.0000 0.5000 0.0000
0.1928 0.1928 0.6144
0.5000 0.0000 0.0000
0.8072 0.8072 0.3856
```

Total energy (eV/f.u.): -20.4

***

Record 3
InIBrO2 after structural relaxation, computed with PBE.

```
InIBrO2
1.0
4.1757 0.0000 0.0000
0.0000 4.1757 0.0000
0.0000 0.0000 7.0887
In I O Br
1 1 2 1
Direct
0.5000 0.5000 0.5000
0.0000 0.0000 0.5000
0.5000 0.0000 0.0000
0.0000 0.5000 0.0000
0.0000 0.0000 0.0000
```

Energy above the lowest structure with this stoichiometry (meV/atom): 597
Total energy (eV/f.u.): -13.7

***

Record 4
La2SmCrN4 after structural relaxation, computed with PBE.

```
La2SmCrN4
1.0
-2.9576 1.5060 1.0853
-0.9049 -6.0954 0.3747
4.3489 0.0763 11.7454
Cr La N Sm
2 4 8 2
Direct
0.1671 0.3341 0.2500
0.8329 0.6659 0.7500
0.3657 0.7315 0.9583
0.6343 0.2685 0.0417
0.6343 0.2685 0.4583
0.3657 0.7315 0.5417
0.4116 0.8232 0.7500
0.5884 0.1768 0.2500
0.7243 0.4487 0.8574
0.0000 0.0000 0.5000
0.2757 0.5513 0.1426
0.0000 0.0000 0.0000
0.2757 0.5513 0.3574
0.7243 0.4487 0.6426
0.1116 0.2232 0.7500
0.8884 0.7768 0.2500
```

Total energy (eV/f.u.): -65.5